Entry 1:
# Ru2IBr

A relaxed Ru2IBr crystal (PBE, Alexandria).

Geometry as CIF:
```
data_Ru2IBr
_space_group_name_H-M_alt 'C 1 m 1'
_space_group_IT_number 8
_cell_length_a 6.3877
_cell_length_b 3.6857
_cell_length_c 8.7374
_cell_angle_alpha 90.00
_cell_angle_beta 103.91
_cell_angle_gamma 90.00
loop_
_space_group_symop_operation_xyz
'x,y,z'
'x,-y,z'
'x+1/2,y+1/2,z'
'x+1/2,-y+1/2,z'
loop_
_atom_site_label
_atom_site_fract_x
_atom_site_fract_y
_atom_site_fract_z
Ru1 0.0000 0.0000 0.0000
Ru2 0.1212 0.5000 0.8606
I1 0.2396 0.5000 0.2283
Br1 0.2243 0.0000 0.6644
```

formation energy without anion corrections	0.35	eV/atom
M_tot	0.00	μB/cell
crystal system	monoclinic
energy above the lowest structure with this stoichiometry	131	meV/atom

=====

Entry 2:
# Be2VSiI

A relaxed Be2VSiI crystal (PBE, Alexandria).

Geometry as CIF:
```
data_Be2VSiI
_space_group_name_H-M_alt 'P 4/m m m'
_space_group_IT_number 123
_space_group_name_Hall '-P 4 2'
_cell_length_a 4.5034
_cell_length_b 4.5034
_cell_length_c 5.3376
_cell_angle_alpha 90.00
_cell_angle_beta 90.00
_cell_angle_gamma 90.00
loop_
_atom_site_label
_atom_site_fract_x
_atom_site_fract_y
_atom_site_fract_z
Be1 0.0000 0.5000 0.0000
V1 0.0000 0.0000 0.5000
Si1 0.5000 0.5000 0.5000
I1 0.5000 0.5000 0.0000
```

formation energy without anion corrections	2.09	eV/atom
M_tot	0.30	μB/cell
crystal system	tetragonal

=====

Entry 3:
# Ta2Co

A relaxed Ta2Co crystal (PBE, Alexandria).

Geometry as CIF:
```
data_Ta2Co
_space_group_name_H-M_alt 'P -6 2 m'
_space_group_IT_number 189
_space_group_name_Hall 'P -6 -2'
_cell_length_a 6.9608
_cell_length_b 6.9608
_cell_length_c 3.3967
_cell_angle_alpha 90.00
_cell_angle_beta 90.00
_cell_angle_gamma 120.00
loop_
_atom_site_label
_atom_site_fract_x
_atom_site_fract_y
_atom_site_fract_z
Ta1 0.0000 0.2576 0.0000
Ta2 0.0000 0.5886 0.5000
Co1 0.0000 0.0000 0.5000
Co2 0.3333 0.6667 0.0000
```

ΔH_f (0 K)	-0.029	eV per atom
M_tot	0.00	μB/cell
crystal system	hexagonal

=====

Entry 4:
# Pr2SI3

A relaxed Pr2SI3 crystal (PBE, Alexandria).

Geometry as CIF:
```
data_Pr2SI3
_space_group_name_H-M_alt 'C 1 2/m 1'
_space_group_IT_number 12
_cell_length_a 18.0890
_cell_length_b 4.7252
_cell_length_c 12.3853
_cell_angle_alpha 90.00
_cell_angle_beta 119.00
_cell_angle_gamma 90.00
loop_
_space_group_symop_operation_xyz
'x,y,z'
'-x,-y,-z'
'-x,y,-z'
'x,-y,z'
'x+1/2,y+1/2,z'
'-x+1/2,-y+1/2,-z'
'-x+1/2,y+1/2,-z'
'x+1/2,-y+1/2,z'
loop_
_atom_site_label
_atom_site_fract_x
_atom_site_fract_y
_atom_site_fract_z
Pr1 0.0901 0.0000 0.4484
Pr2 0.1407 0.5000 0.7972
S1 0.0861 0.0000 0.6710
I1 0.0496 0.5000 0.2391
I2 0.1578 0.0000 0.0107
I3 0.2291 0.5000 0.6131
```

formation energy without anion corrections	-1.55	eV/atom
M_tot	0.00	μB/cell
crystal system	monoclinic

=====

Entry 5:
# Ce3Bi3O

A relaxed Ce3Bi3O crystal (PBE, Alexandria).

Geometry as CIF:
```
data_Ce3Bi3O
_space_group_name_H-M_alt 'P n m a'
_space_group_IT_number 62
_cell_length_a 13.2323
_cell_length_b 4.4172
_cell_length_c 13.8713
_cell_angle_alpha 90.00
_cell_angle_beta 90.00
_cell_angle_gamma 90.00
loop_
_space_group_symop_operation_xyz
'x,y,z'
'-x,-y,-z'
'-x+1/2,-y,z+1/2'
'x+1/2,y,-z+1/2'
'x+1/2,-y+1/2,-z+1/2'
'-x+1/2,y+1/2,z+1/2'
'-x,y+1/2,-z'
'x,-y+1/2,z'
loop_
_atom_site_label
_atom_site_fract_x
_atom_site_fract_y
_atom_site_fract_z
Ce1 0.0080 0.2500 0.1633
Ce2 0.0925 0.2500 0.6319
Ce3 0.2256 0.2500 0.8796
Bi1 0.0810 0.2500 0.3952
Bi2 0.1361 0.7500 0.0256
Bi3 0.2444 0.7500 0.7033
O1 0.0649 0.2500 0.7979
```

formation energy without anion corrections	-1.26	eV/atom
M_tot	5.10	μB/cell
crystal system	orthorhombic

=====

Entry 6:
# HfCrInRh2

A relaxed HfCrInRh2 crystal (PBE, Alexandria).

Geometry as CIF:
```
data_HfCrInRh2
_space_group_name_H-M_alt 'P 4/m m m'
_space_group_IT_number 123
_space_group_name_Hall '-P 4 2'
_cell_length_a 4.7933
_cell_length_b 4.7933
_cell_length_c 4.7378
_cell_angle_alpha 90.00
_cell_angle_beta 90.00
_cell_angle_gamma 90.00
loop_
_atom_site_label
_atom_site_fract_x
_atom_site_fract_y
_atom_site_fract_z
Hf1 0.0000 0.0000 0.0000
Cr1 0.5000 0.5000 0.0000
In1 0.5000 0.5000 0.5000
Rh1 0.0000 0.5000 0.5000
```

ΔH_f (0 K)	1.103	eV per atom
M_tot	3.22	μB/cell
crystal system	tetragonal

=====

Entry 7:
# Li3Y2PaS6

A relaxed Li3Y2PaS6 crystal (PBE, Alexandria).

Geometry as CIF:
```
data_Li3Y2PaS6
_space_group_name_H-M_alt 'C 1 2/m 1'
_space_group_IT_number 12
_cell_length_a 6.7377
_cell_length_b 11.6707
_cell_length_c 6.6061
_cell_angle_alpha 90.00
_cell_angle_beta 109.88
_cell_angle_gamma 90.00
loop_
_space_group_symop_operation_xyz
'x,y,z'
'-x,-y,-z'
'-x,y,-z'
'x,-y,z'
'x+1/2,y+1/2,z'
'-x+1/2,-y+1/2,-z'
'-x+1/2,y+1/2,-z'
'x+1/2,-y+1/2,z'
loop_
_atom_site_label
_atom_site_fract_x
_atom_site_fract_y
_atom_site_fract_z
Li1 0.0000 0.0000 0.0000
Li2 0.0000 0.3324 0.0000
Y1 0.0000 0.1667 0.5000
Pa1 0.0000 0.5000 0.5000
S1 0.2448 0.5000 0.2454
S2 0.2497 0.1649 0.2437
```

formation energy without anion corrections	-1.70	eV/atom
M_tot	2.85	μB/cell
crystal system	monoclinic

=====

Entry 8:
# ZrAlCr2

A relaxed ZrAlCr2 crystal (PBE, Alexandria).

Geometry as CIF:
```
data_ZrAlCr2
_space_group_name_H-M_alt 'R 3 m'
_space_group_IT_number 160
_space_group_name_Hall 'R 3 -2"'
_cell_length_a 2.8905
_cell_length_b 2.8905
_cell_length_c 26.1905
_cell_angle_alpha 90.00
_cell_angle_beta 90.00
_cell_angle_gamma 120.00
loop_
_atom_site_label
_atom_site_fract_x
_atom_site_fract_y
_atom_site_fract_z
Zr1 0.0000 0.0000 0.0000
Al1 0.0000 0.0000 0.7643
Cr1 0.0000 0.0000 0.2391
Cr2 0.0000 0.0000 0.5124
```

ΔH_f (0 K)	0.238	eV per atom
M_tot	0.00	μB/cell
crystal system	trigonal

=====

Entry 9:
# La2TbPrO

A relaxed La2TbPrO crystal (PBE, Alexandria).

Geometry as CIF:
```
data_La2TbPrO
_space_group_name_H-M_alt 'P 4/m m m'
_space_group_IT_number 123
_space_group_name_Hall '-P 4 2'
_cell_length_a 5.3233
_cell_length_b 5.3233
_cell_length_c 4.7899
_cell_angle_alpha 90.00
_cell_angle_beta 90.00
_cell_angle_gamma 90.00
loop_
_atom_site_label
_atom_site_fract_x
_atom_site_fract_y
_atom_site_fract_z
La1 0.0000 0.5000 0.0000
Tb1 0.0000 0.0000 0.5000
Pr1 0.5000 0.5000 0.5000
O1 0.0000 0.0000 0.0000
```

formation energy without anion corrections	-1.13	eV/atom
M_tot	0.00	μB/cell
crystal system	tetragonal

=====

Entry 10:
# VHgAs2Os

A relaxed VHgAs2Os crystal (PBE, Alexandria).

Geometry as CIF:
```
data_VHgAs2Os
_space_group_name_H-M_alt 'P 4/m m m'
_space_group_IT_number 123
_space_group_name_Hall '-P 4 2'
_cell_length_a 4.9330
_cell_length_b 4.9330
_cell_length_c 4.8683
_cell_angle_alpha 90.00
_cell_angle_beta 90.00
_cell_angle_gamma 90.00
loop_
_atom_site_label
_atom_site_fract_x
_atom_site_fract_y
_atom_site_fract_z
V1 0.0000 0.0000 0.0000
Hg1 0.0000 0.0000 0.5000
As1 0.0000 0.5000 0.5000
Os1 0.5000 0.5000 0.0000
```

ΔH_f (0 K)	2.317	eV per atom
M_tot	0.01	μB/cell
crystal system	tetragonal

=====

Entry 11:
# Al2In

A relaxed Al2In crystal (PBE, Alexandria).

Geometry as CIF:
```
data_Al2In
_space_group_name_H-M_alt 'C m c m'
_space_group_IT_number 63
_space_group_name_Hall '-C 2c 2'
_cell_length_a 3.1207
_cell_length_b 14.8638
_cell_length_c 5.3090
_cell_angle_alpha 90.00
_cell_angle_beta 90.00
_cell_angle_gamma 90.00
loop_
_atom_site_label
_atom_site_fract_x
_atom_site_fract_y
_atom_site_fract_z
Al1 0.0000 0.0605 0.2500
Al2 0.0000 0.2830 0.7500
In1 0.0000 0.3895 0.2500
```

ΔH_f (0 K)	0.191	eV per atom
M_tot	0.00	μB/cell
crystal system	orthorhombic

=====

Entry 12:
# BaTe2Br

A relaxed BaTe2Br crystal (PBE, Alexandria).

Geometry as CIF:
```
data_BaTe2Br
_space_group_name_H-M_alt 'I -4 2 d'
_space_group_IT_number 122
_space_group_name_Hall 'I -4 2bw'
_cell_length_a 4.5836
_cell_length_b 4.5836
_cell_length_c 27.5620
_cell_angle_alpha 90.00
_cell_angle_beta 90.00
_cell_angle_gamma 90.00
loop_
_atom_site_label
_atom_site_fract_x
_atom_site_fract_y
_atom_site_fract_z
Ba1 0.0000 0.0000 0.0000
Te1 0.2412 0.2500 0.1250
Br1 0.0000 0.0000 0.5000
```

formation energy without anion corrections	-1.12	eV/atom
M_tot	0.00	μB/cell
crystal system	tetragonal
energy above the lowest structure with this stoichiometry	112	meV/atom